This record from the Alexandria database describes a geometry-optimized P3WO9 structure. The functional is PBE+U.

Lattice parameters (Å, degrees): 6.730 7.720 8.646 74.07 67.09 64.16
Site moments in Bohr magnetons follow the coordinates.
Fractional positions:
O1 0.715 0.394 0.638  0.00
O2 0.883 0.456 0.824  0.01
O3 0.962 0.242 0.161  0.01
O4 0.387 0.556 0.304  0.00
O5 0.160 0.055 0.693  0.01
O6 0.528 0.204 0.599  0.01
O7 0.668 0.704 0.099  0.01
O8 0.083 0.745 0.837  0.01
O9 0.938 0.023 0.007  0.00
O10 0.406 0.833 0.385  0.01
O11 0.335 0.245 0.337  0.01
O12 0.635 0.742 0.661  0.01
O13 0.253 0.894 0.138  0.00
O14 0.032 0.523 0.507  0.00
O15 0.753 0.056 0.804  0.00
O16 0.092 0.555 0.193  0.01
O17 0.376 0.333 0.885  0.01
O18 0.837 0.956 0.324  0.01
W1 0.491 0.999 0.498  2.77
W2 0.012 0.499 0.998  2.77
P1 0.986 0.038 0.169  0.01
P2 0.808 0.538 0.669  0.01
P3 0.004 0.960 0.828  0.01
P4 0.208 0.460 0.328  0.01
P5 0.575 0.252 0.735  0.01
P6 0.438 0.752 0.235  0.01

**Raw total energy**: -190.64 eV for the cell shown
**SG**: Cc